[1]
VASP calculation (PBE) on a geometry-optimized LiPrAs2 structure.

a = 3.9988 Å, b = 3.9988 Å, c = 10.7690 Å
α = 90.00°, β = 90.00°, γ = 90.00°
Closest atoms and distances in Å follow each position.
Space group P4/nmm (No. 129, origin choice 2)
Unique sites:
Li 0.2500 0.7500 0.0000 x2  4 As 2.62, 4 Li 2.83
Pr 0.2500 0.2500 0.2696 x2  8 As 3.08-3.19
As 0.2500 0.2500 0.8430 x2  4 Li 2.62
As 0.2500 0.7500 0.5000 x2  4 As 2.83

Summary:
* energy of formation: -0.998 eV/atom
* N(E_F): 0.84 states/eV/f.u.


[2]
VASP calculation (PBE) on a geometry-optimized Li3PrAs2 structure.

a = 16.4870 Å, b = 4.1449 Å, c = 10.2793 Å
α = 90.00°, β = 100.94°, γ = 90.00°
Closest atoms and distances in Å follow each position.
Space group C2/m (No. 12)
Unique sites:
Li 0.0000 0.0000 0.0000 x2  2 As 2.39
Li 0.0518 0.5000 0.8394 x4  3 Li 2.56-2.72, 4 As 2.83-2.85
Li 0.1223 0.0000 0.7300 x4  4 As 2.59-2.70, 3 Li 2.72-2.83
Li 0.1821 0.0000 0.4900 x4  4 As 2.62-2.71, 1 Li 2.83
Li 0.2097 0.5000 0.9060 x4  4 As 2.46-2.62, 1 Li 2.56
Pr 0.0000 0.5000 0.5000 x2  6 As 3.06-3.25
Pr 0.1661 0.5000 0.2162 x4  6 As 3.10-3.23, 6 Li 3.32-3.46
As 0.0440 0.0000 0.3055 x4  4 Li 2.67-2.85
As 0.1431 0.0000 0.9881 x4  5 Li 2.39-2.61
As 0.1928 0.5000 0.6477 x4  6 Li 2.59-2.71

Summary:
* energy of formation: -0.920 eV/atom
* N(E_F): 0.17 states/eV/f.u.


[3]
VASP calculation (PBE) on a geometry-optimized LiPrAs structure.

a = 4.2865 Å, b = 15.5019 Å, c = 4.4348 Å
α = 90.00°, β = 90.00°, γ = 90.00°
Closest atoms and distances in Å follow each position.
Space group Cmcm (No. 63)
Unique sites:
Li 0.0000 0.0000 0.0000 x4  2 Li 2.22
Pr 0.0000 0.3381 0.2500 x4  5 As 2.96-3.09
As 0.0000 0.1470 0.2500 x4  2 Li 2.53

Summary:
* energy of formation: -0.828 eV/atom
* N(E_F): 1.29 states/eV/f.u.


[4]
VASP calculation (PBE) on a geometry-optimized LiPrAs structure.

a = 4.2630 Å, b = 4.2630 Å, c = 4.1477 Å
α = 90.00°, β = 90.00°, γ = 120.00°
Closest atoms and distances in Å follow each position.
Space group P-6m2 (No. 187)
Unique sites:
Li 0.0000 0.0000 0.0000 x1  3 As 2.46
Pr 0.3333 0.6667 0.5000 x1  6 Li 3.22, 6 As 3.22
As 0.6667 0.3333 0.0000 x1  3 Li 2.46

Summary:
* energy of formation: -1.009 eV/atom
* N(E_F): 0.58 states/eV/f.u.


[5]
VASP calculation (PBE) on a geometry-optimized LiPrAs structure.

a = 4.2551 Å, b = 4.2551 Å, c = 7.1947 Å
α = 90.00°, β = 90.00°, γ = 90.00°
Closest atoms and distances in Å follow each position.
Space group P4/nmm (No. 129, origin choice 2)
Unique sites:
Li 0.2500 0.7500 0.0000 x2  4 As 2.69, 4 Li 3.01
Pr 0.2500 0.2500 0.3397 x2  5 As 3.11, 4 Li 3.24
As 0.2500 0.2500 0.7720 x2  4 Li 2.69

Summary:
* energy of formation: -1.024 eV/atom
* N(E_F): 1.32 states/eV/f.u.


[6]
VASP calculation (PBE) on a geometry-optimized LiPrAs structure.

a = 3.6282 Å, b = 3.6282 Å, c = 10.3371 Å
α = 90.00°, β = 90.00°, γ = 90.00°
Closest atoms and distances in Å follow each position.
Space group I4mm (No. 107)
Unique sites:
Li 0.0000 0.0000 0.0000 x2  4 As 2.73, 1 Pr 2.93
Pr 0.0000 0.0000 0.2834 x2  1 Li 2.93, 5 As 3.18-3.25
As 0.0000 0.0000 0.5907 x2  4 Li 2.73

Summary:
* energy of formation: -0.509 eV/atom
* N(E_F): 3.08 states/eV/f.u.


[7]
VASP calculation (PBE) on a geometry-optimized LiPrAs structure.

a = 6.7526 Å, b = 6.7526 Å, c = 6.7526 Å
α = 90.00°, β = 90.00°, γ = 90.00°
Closest atoms and distances in Å follow each position.
Space group F-43m (No. 216)
Unique sites:
Li 0.0000 0.0000 0.0000 x4  4 As 2.92
Pr 0.0000 0.0000 0.5000 x4  4 As 2.92
As 0.2500 0.2500 0.7500 x4  4 Li 2.92, 4 Pr 2.92

Summary:
* energy of formation: -0.856 eV/atom
* N(E_F): 1.93 states/eV/f.u.


[8]
VASP calculation (PBE) on a geometry-optimized LiPrAs structure.

a = 4.3079 Å, b = 4.3079 Å, c = 8.0717 Å
α = 90.00°, β = 90.00°, γ = 120.00°
Closest atoms and distances in Å follow each position.
Space group P6_3/mmc (No. 194)
Unique sites:
Li 0.3333 0.6667 0.2500 x2  3 As 2.49
Pr 0.0000 0.0000 0.0000 x2  6 As 3.20, 6 Li 3.20
As 0.3333 0.6667 0.7500 x2  3 Li 2.49

Summary:
* energy of formation: -1.007 eV/atom
* N(E_F): 1.90 states/eV/f.u.